1.
Compound: AcInCuIr2
Source: Alexandria
Functional: PBE-GGA
Structure: relaxed

The space group is Imm2 (No. 44) and the conventional cell measures 4.1629, 4.2457 and 11.8768 Å, with angles of 90.00, 90.00 and 90.00 degrees. The asymmetric unit holds Ac at (0.0000, 0.0000, 0.0000), In at (0.0000, 0.5000, 0.7489), Cu at (0.0000, 0.0000, 0.6158), Ir at (0.0000, 0.0000, 0.4009) and Ir at (0.0000, 0.5000, 0.2737).

As for the calculated total energy: -5.951 eV per atom.

***

2.
Compound: LiNdH3
Source: Alexandria
Functional: PBE-GGA
Structure: relaxed

The space group is P2_1/m (No. 11) and the conventional cell measures 4.0071, 4.7703 and 6.2623 Å, with angles of 90.00, 108.72 and 90.00 degrees. The asymmetric unit holds Li at (0.0786, 0.2500, 0.1562), Nd at (0.3536, 0.2500, 0.7076), H at (0.1843, 0.5106, 0.3685) and H at (0.4370, 0.7500, 0.8740).

As for the relative energy among the computed polymorphs: 0.0 kJ/mol of atoms. As for the calculated total energy: -3.821 eV per atom.

***

3.
Compound: FeSiRh
Source: Alexandria
Functional: PBE-GGA
Structure: relaxed

The space group is I4mm (No. 107) and the conventional cell measures 2.8363, 2.8363 and 9.2395 Å, with angles of 90.00, 90.00 and 90.00 degrees. The asymmetric unit holds Fe at (0.0000, 0.0000, 0.0000), Si at (0.0000, 0.0000, 0.6444) and Rh at (0.0000, 0.0000, 0.3027).

For the uncorrected formation energy, the calculation gives -1.21 eV per formula unit. As for the calculated total energy: -7.484 eV per atom.

***

4.
Compound: Cr2CoAg
Source: Alexandria
Functional: PBE-GGA
Structure: relaxed

The space group is C2/m (No. 12) and the conventional cell measures 8.7680, 2.7413 and 4.5210 Å, with angles of 90.00, 101.28 and 90.00 degrees. The asymmetric unit holds Cr at (0.2406, 0.0000, 0.1841), Co at (0.0000, 0.5000, 0.0000) and Ag at (0.0000, 0.0000, 0.5000).

As for the relative energy among the computed polymorphs: 13.8 kJ/mol of atoms. As for the calculated total energy: -6.809 eV per atom.

***

5.
Compound: InTeAs2Se
Source: Alexandria
Functional: PBE-GGA
Structure: relaxed

The space group is P4/mmm (No. 123) and the conventional cell measures 5.6114, 5.6114 and 5.6329 Å, with angles of 90.00, 90.00 and 90.00 degrees. The asymmetric unit holds In at (0.0000, 0.0000, 0.0000), Te at (0.5000, 0.5000, 0.5000), As at (0.0000, 0.5000, 0.5000) and Se at (0.5000, 0.5000, 0.0000).

For the uncorrected formation energy, the calculation gives 3.41 eV per formula unit. As for the relative energy among the computed polymorphs: 0.0 kJ/mol of atoms. As for the calculated total energy: -3.050 eV per atom.

***

6.
Compound: LaReHg2
Source: Alexandria
Functional: PBE-GGA
Structure: relaxed

The space group is Cmm2 (No. 35) and the conventional cell measures 3.5793, 5.1239 and 9.9533 Å, with angles of 90.00, 90.00 and 90.00 degrees. The asymmetric unit holds La at (0.0000, 0.0000, 0.0000), Re at (0.0000, 0.5000, 0.2235), Hg at (0.0000, 0.0000, 0.4488) and Hg at (0.0000, 0.5000, 0.7098).

As for the relative energy among the computed polymorphs: 13.8 kJ/mol of atoms. As for the calculated total energy: -4.023 eV per atom.

***

7.
Compound: AlReRu3
Source: Alexandria
Functional: PBE-GGA
Structure: relaxed

The space group is Pm-3m (No. 221) and the conventional cell measures 4.3062, 4.3062 and 4.3062 Å, with angles of 90.00, 90.00 and 90.00 degrees. The asymmetric unit holds Al at (0.0000, 0.0000, 0.0000), Re at (0.5000, 0.5000, 0.5000) and Ru at (0.0000, 0.0000, 0.5000).

As for the relative energy among the computed polymorphs: 0.0 kJ/mol of atoms. As for the calculated total energy: -7.459 eV per atom.

***

8.
Compound: HfGeBiIr2N
Source: Alexandria
Functional: PBE-GGA
Structure: relaxed

The space group is P1 (No. 1) and the conventional cell measures 4.2037, 5.4690 and 5.6377 Å, with angles of 63.06, 79.45 and 88.96 degrees. The asymmetric unit holds Hf at (0.0000, 0.0000, 0.0000), Ge at (0.4405, 0.5898, 0.2376), Bi at (0.8331, 0.6707, 0.6794), Ir at (0.4064, 0.9844, 0.3320), Ir at (0.9438, 0.3719, 0.2164) and N at (0.0726, 0.1187, 0.5910).

For the uncorrected formation energy, the calculation gives -0.60 eV per formula unit. As for the relative energy among the computed polymorphs: 38.0 kJ/mol of atoms. As for the calculated total energy: -7.516 eV per atom.

***

9.
Compound: TaBeSe2
Source: Alexandria
Functional: PBE-GGA
Structure: relaxed

The space group is Cmm2 (No. 35) and the conventional cell measures 3.6810, 5.2207 and 8.3757 Å, with angles of 90.00, 90.00 and 90.00 degrees. The asymmetric unit holds Ta at (0.0000, 0.0000, 0.0000), Be at (0.0000, 0.5000, 0.2018), Se at (0.0000, 0.0000, 0.3289) and Se at (0.0000, 0.5000, 0.7792).

For the uncorrected formation energy, the calculation gives -0.65 eV per formula unit. As for the calculated total energy: -5.799 eV per atom.

***

10.
Compound: CrPbBr2
Source: Alexandria
Functional: PBE-GGA
Structure: relaxed

The space group is Pmmm (No. 47) and the conventional cell measures 3.6999, 4.6936 and 6.3563 Å, with angles of 90.00, 90.00 and 90.00 degrees. The asymmetric unit holds Cr at (0.0000, 0.0000, 0.0000), Pb at (0.5000, 0.0000, 0.5000), Br at (0.0000, 0.5000, 0.5000) and Br at (0.5000, 0.5000, 0.0000).

For the uncorrected formation energy, the calculation gives 0.09 eV per formula unit. As for the relative energy among the computed polymorphs: 30.8 kJ/mol of atoms. As for the calculated total energy: -4.148 eV per atom.

***

11.
Compound: Ba6Na2Ir
Source: Alexandria
Functional: PBE-GGA
Structure: relaxed

The space group is C2/m (No. 12) and the conventional cell measures 15.3420, 8.8520 and 8.8526 Å, with angles of 90.00, 125.24 and 90.00 degrees. The asymmetric unit holds Ba at (0.9997, 0.2429, 0.2427), Ba at (0.2421, 0.0000, 0.2429), Na at (0.2500, 0.0000, 0.7503) and Ir at (0.0000, 0.0000, 0.0000).

As for the calculated total energy: -2.685 eV per atom.

***

12.
Compound: ThSi2Tc3
Source: Alexandria
Functional: PBE-GGA
Structure: relaxed

The space group is C2/m (No. 12) and the conventional cell measures 14.9838, 4.2040 and 7.5408 Å, with angles of 90.00, 117.80 and 90.00 degrees. The asymmetric unit holds Th at (0.1462, 0.0000, 0.0612), Si at (0.0236, 0.5000, 0.1850), Si at (0.1879, 0.0000, 0.7052), Tc at (0.0413, 0.0000, 0.3792), Tc at (0.0899, 0.5000, 0.6613) and Tc at (0.2030, 0.5000, 0.4713).

For the uncorrected formation energy, the calculation gives -3.28 eV per formula unit. As for the relative energy among the computed polymorphs: 0.0 kJ/mol of atoms. As for the calculated total energy: -8.773 eV per atom.

***

13.
Compound: Nb2In5Cl12
Source: Alexandria
Functional: PBE-GGA
Structure: relaxed

The space group is C2/m (No. 12) and the conventional cell measures 17.5267, 7.0188 and 10.4021 Å, with angles of 90.00, 102.43 and 90.00 degrees. The asymmetric unit holds Nb at (0.0000, 0.2101, 0.0000), In at (0.0000, 0.5000, 0.5000), In at (0.1925, 0.0000, 0.7859), In at (0.2020, 0.0000, 0.3637), Cl at (0.9996, 0.0000, 0.1897), Cl at (0.0005, 0.5000, 0.1593), Cl at (0.1382, 0.2388, 0.0495) and Cl at (0.1535, 0.2502, 0.5675).

For the uncorrected formation energy, the calculation gives -19.00 eV per formula unit. As for the calculated total energy: -3.947 eV per atom.